Record 1
First-principles (PBE-GGA) data for an optimized crystal structure of DyTmZnIn, as listed in the Alexandria database.

Values from the calculation:
calculated total energy: -3.682 eV/atom
SG: P4mm
energy of formation: -410 meV/atom
M_tot: 0.0 μB/cell
crystal system: tetragonal

a = 3.6150 Å, b = 3.6150 Å, c = 7.3891 Å
α = 90.00°, β = 90.00°, γ = 90.00°
Element x y z (fractional)
In 0.5000 0.5000 0.1119
Dy 0.0000 0.0000 0.8380
Zn 0.5000 0.5000 0.6006
Tm 0.0000 0.0000 0.3775

Record 2
First-principles (PBE-GGA) data for an optimized crystal structure of La2PmAg, as listed in the Alexandria database.

Values from the calculation:
calculated total energy: -4.436 eV/atom
SG: P2_1/m
energy of formation: -72 meV/atom
M_tot: 0.0 μB/cell
crystal system: monoclinic

a = 5.0080 Å, b = 6.6150 Å, c = 8.3739 Å
α = 90.00°, β = 90.00°, γ = 112.21°
Element x y z (fractional)
Ag 0.7908 0.5813 0.7500
La 0.3641 0.7277 0.9655
Ag 0.2092 0.4187 0.2500
Pm 0.9464 0.8937 0.2500
La 0.6359 0.2723 0.4655
La 0.6359 0.2723 0.0345
Pm 0.0536 0.1063 0.7500
La 0.3641 0.7277 0.5345

Record 3
First-principles (PBE-GGA) data for an optimized crystal structure of HoErTm2, as listed in the Alexandria database.

Values from the calculation:
calculated total energy: -4.381 eV/atom
SG: Fm-3m
energy of formation: 140 meV/atom
M_tot: 0.0 μB/cell
crystal system: cubic

a = 5.5829 Å, b = 5.5829 Å, c = 5.5829 Å
α = 60.00°, β = 60.00°, γ = 60.00°
Element x y z (fractional)
Ho 0.0000 0.0000 0.0000
Tm 0.7500 0.7500 0.7500
Er 0.5000 0.5000 0.5000
Tm 0.2500 0.2500 0.2500

Record 4
First-principles (PBE-GGA) data for an optimized crystal structure of La3Al6Pd5, as listed in the Alexandria database.

Values from the calculation:
calculated total energy: -5.325 eV/atom
SG: Pmmn
energy of formation: -811 meV/atom
M_tot: 0.0 μB/cell
crystal system: orthorhombic

a = 4.3634 Å, b = 9.6740 Å, c = 13.1115 Å
α = 90.00°, β = 90.00°, γ = 90.00°
Element x y z (fractional)
Al 0.0000 0.9845 0.8503
La 0.5000 0.7545 0.8053
Pd 0.0000 0.8026 0.0000
Pd 0.0000 0.5383 0.1135
La 0.0000 0.2455 0.6947
Al 0.5000 0.5692 0.0000
Al 0.5000 0.0155 0.6497
Pd 0.5000 0.1974 0.5000
Al 0.0000 0.4308 0.5000
Pd 0.5000 0.4617 0.6135
Al 0.0000 0.5821 0.6831
Pd 0.5000 0.1313 0.8417
Pd 0.0000 0.8687 0.6583
Pd 0.0000 0.5383 0.8865
La 0.5000 0.7545 0.1947
Pd 0.0000 0.8687 0.3417
Al 0.5000 0.4179 0.8169
Al 0.0000 0.0324 0.5000
Pd 0.5000 0.4617 0.3865
Al 0.5000 0.0155 0.3503
La 0.5000 0.7370 0.5000
Pd 0.5000 0.1313 0.1583
Al 0.0000 0.5821 0.3169
Al 0.5000 0.9676 0.0000
Al 0.0000 0.9845 0.1497
La 0.0000 0.2455 0.3053
Al 0.5000 0.4179 0.1831
La 0.0000 0.2630 0.0000

Record 5
First-principles (PBE-GGA) data for an optimized crystal structure of Cs2InAgAu, as listed in the Alexandria database.

Values from the calculation:
calculated total energy: -2.093 eV/atom
SG: P4/mmm
energy of formation: 22 meV/atom
M_tot: 0.0 μB/cell
crystal system: tetragonal

a = 6.8530 Å, b = 6.8530 Å, c = 5.3014 Å
α = 90.00°, β = 90.00°, γ = 90.00°
Element x y z (fractional)
Cs 0.5000 0.0000 0.0000
Cs 0.0000 0.5000 0.0000
In 0.0000 0.0000 0.5000
Ag 0.5000 0.5000 0.5000
Au 0.0000 0.0000 0.0000

Record 6
First-principles (PBE-GGA) data for an optimized crystal structure of NbCuReRu2, as listed in the Alexandria database.

Values from the calculation:
calculated total energy: -7.484 eV/atom
SG: P4/mmm
energy of formation: 1549 meV/atom
M_tot: 0.0 μB/cell
crystal system: tetragonal

a = 4.3685 Å, b = 4.4688 Å, c = 4.3685 Å
α = 90.00°, β = 90.00°, γ = 90.00°
Element x y z (fractional)
Ru 0.5000 0.0000 0.0000
Nb 0.0000 0.5000 0.0000
Ru 0.0000 0.0000 0.5000
Cu 0.0000 0.0000 0.0000
Re 0.5000 0.5000 0.5000

Record 7
First-principles (PBE-GGA) data for an optimized crystal structure of LaPr2Pt, as listed in the Alexandria database.

Values from the calculation:
calculated total energy: -5.605 eV/atom
SG: P4/mmm
energy of formation: -473 meV/atom
M_tot: 0.0 μB/cell
crystal system: tetragonal

a = 3.7170 Å, b = 3.7170 Å, c = 8.8364 Å
α = 90.00°, β = 90.00°, γ = 90.00°
Element x y z (fractional)
La 0.5000 0.5000 0.5000
Pr 0.0000 0.0000 0.1919
Pr 0.0000 0.0000 0.8081
Pt 0.5000 0.5000 0.0000

Record 8
First-principles (PBE-GGA) data for an optimized crystal structure of BaTe7, as listed in the Alexandria database.

Values from the calculation:
calculated total energy: -3.094 eV/atom
SG: Fm-3m
uncorrected formation energy: -0.84 eV per formula unit
M_tot: 0.0 μB/cell
crystal system: cubic

a = 7.0244 Å, b = 7.0244 Å, c = 7.0244 Å
α = 60.00°, β = 60.00°, γ = 60.00°
Element x y z (fractional)
Te 0.5000 0.5000 0.0000
Ba 0.0000 0.0000 0.0000
Te 0.0000 0.5000 0.0000
Te 0.0000 0.0000 0.5000
Te 0.0000 0.5000 0.5000
Te 0.5000 0.5000 0.5000
Te 0.5000 0.0000 0.0000
Te 0.5000 0.0000 0.5000

Record 9
First-principles (PBE-GGA) data for an optimized crystal structure of BeFeHg4, as listed in the Alexandria database.

Values from the calculation:
calculated total energy: -1.259 eV/atom
SG: F-43m
energy of formation: 974 meV/atom
M_tot: 3.2 μB/cell
crystal system: cubic

a = 5.7389 Å, b = 5.7389 Å, c = 5.7389 Å
α = 60.00°, β = 60.00°, γ = 60.00°
Each line ends with the local moment (μB).
Element x y z (fractional)
Hg 0.3749 0.8752 0.3749  -0.01
Hg 0.8752 0.3749 0.3749  -0.01
Hg 0.3749 0.3749 0.8752  -0.01
Hg 0.3749 0.3749 0.3749  -0.01
Fe 0.0000 0.0000 0.0000  3.13
Be 0.7500 0.7500 0.7500  -0.01

Record 10
First-principles (PBE-GGA) data for an optimized crystal structure of KFeBr3, as listed in the Alexandria database.

Values from the calculation:
calculated total energy: -2.599 eV/atom
SG: Pm-3m
uncorrected formation energy: 1.59 eV per formula unit
M_tot: 3.8 μB/cell
crystal system: cubic

a = 5.8951 Å, b = 5.8951 Å, c = 5.8951 Å
α = 90.00°, β = 90.00°, γ = 90.00°
Each line ends with the local moment (μB).
Element x y z (fractional)
Br 0.0000 0.5000 0.0000  0.04
Br 0.5000 0.0000 0.0000  0.04
Fe 0.5000 0.5000 0.5000  3.35
K 0.0000 0.0000 0.0000  0.00
Br 0.0000 0.0000 0.5000  0.04

Record 11
First-principles (PBE-GGA) data for an optimized crystal structure of PrEu2Er, as listed in the Alexandria database.

Values from the calculation:
calculated total energy: -7.370 eV/atom
SG: P4/mmm
energy of formation: 103 meV/atom
M_tot: 15.2 μB/cell
crystal system: tetragonal

a = 3.6855 Å, b = 3.6855 Å, c = 10.7039 Å
α = 90.00°, β = 90.00°, γ = 90.00°
Each line ends with the local moment (μB).
Element x y z (fractional)
Er 0.5000 0.5000 0.0000  -0.46
Pr 0.5000 0.5000 0.5000  0.01
Eu 0.0000 0.0000 0.7569  -6.92
Eu 0.0000 0.0000 0.2431  -6.92

Record 12
First-principles (PBE-GGA) data for an optimized crystal structure of SmHfBi2, as listed in the Alexandria database.

Values from the calculation:
calculated total energy: -5.900 eV/atom
SG: P4/mmm
energy of formation: -291 meV/atom
M_tot: 0.0 μB/cell
crystal system: tetragonal

a = 3.6751 Å, b = 3.6751 Å, c = 8.0214 Å
α = 90.00°, β = 90.00°, γ = 90.00°
Element x y z (fractional)
Hf 0.5000 0.5000 0.0000
Bi 0.0000 0.0000 0.7748
Sm 0.5000 0.5000 0.5000
Bi 0.0000 0.0000 0.2252